Below is a relaxed structure of Rb2InBiS4, with properties calculated at the PBE level.

The value obtained for the uncorrected formation energy is -0.755 eV/atom.

It has space group Pmn2_1 (No. 31), with a = 9.352 Å, b = 9.209 Å, c = 6.753 Å, α = 90.00°, β = 90.00° and γ = 90.00°. Symmetry generates all atoms from Rb at (0.250, 0.159, 0.000), In at (0.000, 0.351, 0.543), Bi at (0.000, 0.653, 0.030), S at (0.000, 0.388, 0.917), S at (0.000, 0.606, 0.409) and S at (0.224, 0.210, 0.489).

Below is a relaxed structure of BaCeTl6, with properties calculated at the PBE level.

The total energy comes out at -2.987 eV/atom.

It has space group P4/mmm (No. 123), with a = 4.973 Å, b = 4.973 Å, c = 10.000 Å, α = 90.00°, β = 90.00° and γ = 90.00°. Symmetry generates all atoms from Ba at (0.000, 0.000, 0.000), Ce at (0.000, 0.000, 0.500), Tl at (0.000, 0.500, 0.263), Tl at (0.500, 0.500, 0.000) and Tl at (0.500, 0.500, 0.500).

no.,Fermi-level density of states (states/eV/f.u.)
1,0.00
2,9.93